[1]
A relaxed InH3Ir crystal. Source: Alexandria via LeMat-Bulk, functional PBEsol.

CIF file:
```
data_InH3Ir
_cell_length_a 3.623
_cell_length_b 3.623
_cell_length_c 3.623
_cell_angle_alpha 90.00
_cell_angle_beta 90.00
_cell_angle_gamma 90.00
_space_group_name_H-M_alt 'P 1'
_space_group_IT_number 1
loop_
_space_group_symop_operation_xyz
'x,y,z'
loop_
_atom_site_label
_atom_site_fract_x
_atom_site_fract_y
_atom_site_fract_z
H1 0.000 0.500 0.000
H2 0.000 0.000 0.500
H3 0.500 0.000 0.000
Ir1 0.000 0.000 0.000
In1 0.500 0.500 0.500
```

Results
space group = Pm-3m (221)
calculated density = 10.83 Mg/m³

[2]
A relaxed MnCo2Os crystal. Source: Alexandria via LeMat-Bulk, functional PBEsol.

CIF file:
```
data_MnCo2Os
_cell_length_a 2.566
_cell_length_b 3.970
_cell_length_c 4.378
_cell_angle_alpha 90.00
_cell_angle_beta 90.00
_cell_angle_gamma 90.00
_space_group_name_H-M_alt 'P 1'
_space_group_IT_number 1
loop_
_space_group_symop_operation_xyz
'x,y,z'
loop_
_atom_site_label
_atom_site_fract_x
_atom_site_fract_y
_atom_site_fract_z
Os1 0.500 0.500 0.289
Mn1 0.000 0.000 0.474
Co1 0.500 0.000 0.939
Co2 0.000 0.500 0.798
```

Results
space group = Pmm2 (25)
energy relative to the elements = 4.2 kJ/mol of atoms
polymorph energy (0 for the lowest one) = 0.0000 eV/atom
calculated density = 13.52 Mg/m³

[3]
A relaxed MgBeIn crystal. Source: Alexandria via LeMat-Bulk, functional PBEsol.

CIF file:
```
data_MgBeIn
_cell_length_a 3.159
_cell_length_b 3.159
_cell_length_c 6.439
_cell_angle_alpha 90.00
_cell_angle_beta 90.00
_cell_angle_gamma 120.00
_space_group_name_H-M_alt 'P 1'
_space_group_IT_number 1
loop_
_space_group_symop_operation_xyz
'x,y,z'
loop_
_atom_site_label
_atom_site_fract_x
_atom_site_fract_y
_atom_site_fract_z
Be1 0.000 0.000 0.999
Mg1 0.667 0.333 0.305
In1 0.333 0.667 0.697
```

Results
space group = P3m1 (156)
energy relative to the elements = 32.3 kJ/mol of atoms
polymorph energy (0 for the lowest one) = 0.0101 eV/atom
calculated density = 4.42 Mg/m³

[4]
A relaxed Ca3InP crystal. Source: Alexandria via LeMat-Bulk, functional PBEsol.

CIF file:
```
data_Ca3InP
_cell_length_a 5.406
_cell_length_b 5.406
_cell_length_c 5.406
_cell_angle_alpha 90.00
_cell_angle_beta 90.00
_cell_angle_gamma 90.00
_space_group_name_H-M_alt 'P 1'
_space_group_IT_number 1
loop_
_space_group_symop_operation_xyz
'x,y,z'
loop_
_atom_site_label
_atom_site_fract_x
_atom_site_fract_y
_atom_site_fract_z
P1 0.000 0.000 0.000
Ca1 0.000 0.500 0.000
Ca2 0.000 0.000 0.500
Ca3 0.500 0.000 0.000
In1 0.500 0.500 0.500
```

Results
space group = Pm-3m (221)
energy relative to the elements = -60.7 kJ/mol of atoms
polymorph energy (0 for the lowest one) = 0.0000 eV/atom
calculated density = 2.80 Mg/m³

[5]
A relaxed Ta3Re2 crystal. Source: Alexandria via LeMat-Bulk, functional PBEsol.

CIF file:
```
data_Ta3Re2
_cell_length_a 4.369
_cell_length_b 4.369
_cell_length_c 5.477
_cell_angle_alpha 90.00
_cell_angle_beta 90.00
_cell_angle_gamma 120.00
_space_group_name_H-M_alt 'P 1'
_space_group_IT_number 1
loop_
_space_group_symop_operation_xyz
'x,y,z'
loop_
_atom_site_label
_atom_site_fract_x
_atom_site_fract_y
_atom_site_fract_z
Re1 0.333 0.667 0.831
Re2 0.667 0.333 0.169
Ta1 0.000 0.000 0.000
Ta2 0.333 0.667 0.345
Ta3 0.667 0.333 0.655
```

Results
space group = P-3m1 (164)
energy relative to the elements = 4.6 kJ/mol of atoms
polymorph energy (0 for the lowest one) = 0.0000 eV/atom
calculated density = 16.79 Mg/m³

[6]
A relaxed Y4BePt crystal. Source: Alexandria via LeMat-Bulk, functional PBEsol.

CIF file:
```
data_Y4BePt
_cell_length_a 5.870
_cell_length_b 5.870
_cell_length_c 5.870
_cell_angle_alpha 60.00
_cell_angle_beta 60.00
_cell_angle_gamma 60.00
_space_group_name_H-M_alt 'P 1'
_space_group_IT_number 1
loop_
_space_group_symop_operation_xyz
'x,y,z'
loop_
_atom_site_label
_atom_site_fract_x
_atom_site_fract_y
_atom_site_fract_z
Be1 0.750 0.750 0.750
Pt1 0.000 0.000 0.000
Y1 0.374 0.374 0.374
Y2 0.374 0.374 0.877
Y3 0.877 0.374 0.374
Y4 0.374 0.877 0.374
```

Results
space group = F-43m (216)
energy relative to the elements = 64.5 kJ/mol of atoms
calculated density = 6.50 Mg/m³

[7]
A relaxed La2Cu2Ag crystal. Source: Alexandria via LeMat-Bulk, functional PBEsol.

CIF file:
```
data_La2Cu2Ag
_cell_length_a 3.941
_cell_length_b 7.502
_cell_length_c 7.502
_cell_angle_alpha 90.00
_cell_angle_beta 90.00
_cell_angle_gamma 90.00
_space_group_name_H-M_alt 'P 1'
_space_group_IT_number 1
loop_
_space_group_symop_operation_xyz
'x,y,z'
loop_
_atom_site_label
_atom_site_fract_x
_atom_site_fract_y
_atom_site_fract_z
Cu1 0.000 0.382 0.882
Cu2 0.000 0.882 0.618
Cu3 0.000 0.618 0.118
Cu4 0.000 0.118 0.382
Ag1 0.000 0.000 0.000
Ag2 0.000 0.500 0.500
La1 0.500 0.177 0.677
La2 0.500 0.677 0.823
La3 0.500 0.823 0.323
La4 0.500 0.323 0.177
```

Results
space group = P4/mbm (127)
energy relative to the elements = -15.8 kJ/mol of atoms
calculated density = 7.68 Mg/m³

[8]
A relaxed ZnRh2Au crystal. Source: Alexandria via LeMat-Bulk, functional PBEsol.

CIF file:
```
data_ZnRh2Au
_cell_length_a 2.749
_cell_length_b 2.749
_cell_length_c 8.880
_cell_angle_alpha 81.10
_cell_angle_beta 81.10
_cell_angle_gamma 60.00
_space_group_name_H-M_alt 'P 1'
_space_group_IT_number 1
loop_
_space_group_symop_operation_xyz
'x,y,z'
loop_
_atom_site_label
_atom_site_fract_x
_atom_site_fract_y
_atom_site_fract_z
Au1 0.248 0.248 0.256
Rh1 0.004 0.004 0.987
Rh2 0.751 0.751 0.746
Zn1 0.496 0.496 0.511
```

Results
space group = R3m (160)
energy relative to the elements = -4.1 kJ/mol of atoms
calculated density = 13.60 Mg/m³

Number 1: E -4.3553 eV per atom. Number 2: E -9.3198 eV per atom. Number 3: E -2.5656 eV per atom. Number 4: E -3.6635 eV per atom. Number 5: E -12.8153 eV per atom. Number 6: E -5.7074 eV per atom. Number 7: E -4.6983 eV per atom. Number 8: E -5.4884 eV per atom.